[1]
Material: Dy4Mg5Ga2
Method: DFT, PBE-GGA
State: relaxed

```
Dy4Mg5Ga2
1.0
-3.542 0.001 0.301
-0.613 -3.258 -7.210
0.394 -8.749 4.661
Mg Ga Dy
5 2 4
direct
0.000 0.564 0.305
0.000 0.812 0.841
0.000 0.500 0.000
0.000 0.436 0.695
0.000 0.188 0.159
0.000 0.059 0.630
0.000 0.941 0.370
0.500 0.842 0.133
0.500 0.748 0.558
0.500 0.252 0.442
0.500 0.158 0.867
```

For the energy of formation from the pure elements, the calculation gives -0.206 eV/atom. As for the density of states at the Fermi level: 0.939 states/eV/atom. The calculation puts the volume at 25.38 Å³/atom. The total energy is -3.154 eV per atom.

***

[2]
Material: RuAu2Se2
Method: DFT, PBE-GGA
State: relaxed

```
RuAu2Se2
1.0
0.093 6.207 5.463
3.352 7.379 1.641
-3.640 -5.637 -4.833
Se Au Ru
2 2 1
direct
0.750 0.250 0.500
0.250 0.750 0.500
0.413 0.413 0.000
0.587 0.587 0.000
0.000 0.000 0.000
```

The value obtained for the formation energy (no corrections) is 377 kJ/mol of formula units. As for the density of states at the Fermi level: 1.013 states/eV/atom. The calculation puts the volume at 20.90 Å³/atom. The total energy is -3.778 eV per atom.

***

[3]
Material: Pm2SmRh2
Method: DFT, PBE-GGA
State: relaxed

```
Pm2SmRh2
1.0
3.816 0.000 -0.585
0.000 4.747 0.000
0.139 0.000 13.646
Pm Sm Rh
4 2 4
direct
0.052 0.250 0.103
0.267 0.750 0.535
0.948 0.750 0.897
0.733 0.250 0.465
0.365 0.250 0.730
0.635 0.750 0.270
0.467 0.250 0.933
0.159 0.250 0.318
0.841 0.750 0.682
0.533 0.750 0.067
```

For the energy of formation from the pure elements, the calculation gives -0.533 eV/atom. As for the density of states at the Fermi level: 0.611 states/eV/atom. For the energy relative to the lowest polymorph listed for this composition, the calculation gives 0.000 eV/atom. The calculation puts the volume at 24.76 Å³/atom. The total energy is -6.317 eV per atom.

***

[4]
Material: KNaIn2Au2
Method: DFT, PBE-GGA
State: relaxed

```
KNaIn2Au2
1.0
-0.198 3.242 -3.690
0.134 -4.819 -0.966
-7.886 -0.259 0.195
In Au Na K
2 2 1 1
direct
0.333 0.667 0.312
0.667 0.333 0.688
0.333 0.667 0.688
0.667 0.333 0.312
0.000 0.000 0.500
0.000 0.000 0.000
```

For the energy of formation from the pure elements, the calculation gives -0.315 eV/atom. As for the density of states at the Fermi level: 0.360 states/eV/atom. The calculation puts the volume at 27.54 Å³/atom. The total energy is -2.723 eV per atom.

***

[5]
Material: TbPa2CoN4
Method: DFT, PBE-GGA
State: relaxed

```
TbPa2CoN4
1.0
3.421 0.000 0.000
-1.711 5.723 0.000
0.000 0.000 11.371
N Co Pa Tb
8 2 4 2
direct
0.727 0.454 0.883
0.454 0.908 0.750
0.000 0.000 0.500
0.727 0.454 0.617
0.000 0.000 0.000
0.546 0.092 0.250
0.273 0.546 0.383
0.273 0.546 0.117
0.843 0.687 0.750
0.157 0.313 0.250
0.369 0.737 0.563
0.631 0.263 0.437
0.369 0.737 0.937
0.631 0.263 0.063
0.893 0.786 0.250
0.107 0.214 0.750
```

The value obtained for the formation energy (no corrections) is -1036 kJ/mol of formula units. As for the density of states at the Fermi level: 0.224 states/eV/atom. The calculation puts the volume at 13.92 Å³/atom. The total energy is -9.346 eV per atom.

***

[6]
Material: Ba3Al2S6
Method: DFT, PBE-GGA
State: relaxed

```
Ba3Al2S6
1.0
4.740 0.000 0.000
0.000 4.740 0.000
-2.370 -2.370 12.734
Ba S Al
3 6 2
direct
0.000 0.000 0.000
0.824 0.824 0.648
0.176 0.176 0.352
0.697 0.697 0.395
0.585 0.085 0.170
0.415 0.915 0.830
0.085 0.585 0.170
0.303 0.303 0.605
0.915 0.415 0.830
0.391 0.391 0.781
0.609 0.609 0.219
```

The value obtained for the formation energy (no corrections) is -1710 kJ/mol of formula units. As for the density of states at the Fermi level: 0.038 states/eV/atom. The calculation puts the volume at 26.01 Å³/atom. The total energy is -5.067 eV per atom.

***

[7]
Material: Zr2GaReH
Method: DFT, PBE-GGA
State: relaxed

```
Zr2GaReH
1.0
4.538 0.000 0.000
0.000 4.538 0.000
0.000 0.000 3.720
Zr Ga H Re
2 1 1 1
direct
0.000 0.500 0.000
0.500 0.000 0.000
0.500 0.500 0.500
0.000 0.000 0.000
0.000 0.000 0.500
```

As for the density of states at the Fermi level: 0.678 states/eV/atom. The calculation puts the volume at 15.32 Å³/atom. The total energy is -7.487 eV per atom.

***

[8]
Material: Ca2TmHg5
Method: DFT, PBE-GGA
State: relaxed

```
Ca2TmHg5
1.0
-2.404 4.643 0.668
-3.658 -2.325 2.999
7.083 0.089 4.075
Hg Ca Tm
5 2 1
direct
0.621 0.121 0.242
0.121 0.621 0.242
0.879 0.379 0.758
0.379 0.879 0.758
0.500 0.500 0.000
0.741 0.741 0.482
0.259 0.259 0.518
0.000 0.000 0.000
```

For the energy of formation from the pure elements, the calculation gives -0.428 eV/atom. As for the density of states at the Fermi level: 0.481 states/eV/atom. The calculation puts the volume at 25.25 Å³/atom. The total energy is -1.675 eV per atom.